1.
Entry from Alexandria: an optimized crystal structure of La2PdAu (PBE).

Output
Calculated total energy, eV per atom: -5.35
Space group: P4/mmm, No. 123

Cell: 3.728 3.728 7.474 Å, 90.00 90.00 90.00°
Positions (direct):
Au: 0.500 0.500 0.500
Pd: 0.500 0.500 0.000
La: 0.000 0.000 0.757
La: 0.000 0.000 0.243

=====

2.
Entry from Alexandria: an optimized crystal structure of ErPaTe (PBE).

Output
Formation energy from raw total energies, eV per atom: -0.35
Space group: I4mm, No. 107
Energy above the lowest structure with this stoichiometry, kJ/mol of formula units: 0

Cell: 3.697 3.697 6.680 Å, 106.07 106.07 90.00°
Positions (direct):
Pa: 0.013 0.013 0.026
Te: 0.668 0.668 0.337
Er: 0.318 0.318 0.637

=====

3.
Entry from Alexandria: an optimized crystal structure of CrTePd2 (PBE).

Output
Formation energy from raw total energies, eV per atom: 0.33
Space group: I-42d, No. 122

Cell: 3.863 3.863 9.837 Å, 78.68 78.68 90.00°
Positions (direct):
Cr: 0.500 0.500 0.000
Cr: 0.250 0.750 0.500
Te: 0.000 0.000 0.000
Te: 0.750 0.250 0.500
Pd: 0.618 0.125 0.250
Pd: 0.132 0.625 0.250
Pd: 0.375 0.382 0.750
Pd: 0.875 0.868 0.750

=====

4.
Entry from Alexandria: an optimized crystal structure of Tl2Cu2SbTe4 (PBE).

Output
Formation energy from raw total energies, eV per atom: -0.17
Space group: C2/m, No. 12

Cell: 4.207 8.390 8.357 Å, 111.13 104.58 90.00°
Positions (direct):
Tl: 0.128 0.550 0.256
Tl: 0.872 0.450 0.744
Cu: 0.701 0.001 0.402
Cu: 0.299 0.999 0.598
Sb: 0.000 0.000 0.000
Te: 0.203 0.194 0.405
Te: 0.797 0.806 0.595
Te: 0.530 0.765 0.060
Te: 0.470 0.235 0.940

=====

5.
Entry from Alexandria: an optimized crystal structure of MgNiP (PBE).

Output
Calculated total energy, eV per atom: -4.44
Space group: P3m1, No. 156

Cell: 3.072 3.072 5.646 Å, 90.00 90.00 120.00°
Positions (direct):
Mg: 0.000 0.000 0.004
Ni: 0.667 0.333 0.380
P: 0.333 0.667 0.617

=====

6.
Entry from Alexandria: an optimized crystal structure of Tb4Cu3Si (PBE).

Output
Formation energy from raw total energies, eV per atom: -0.36
Space group: Pmm2, No. 25

Cell: 4.000 4.217 10.489 Å, 90.00 90.00 90.00°
Positions (direct):
Tb: 0.500 0.500 0.357
Tb: 0.000 0.500 0.857
Tb: 0.000 0.000 0.143
Tb: 0.500 0.000 0.639
Cu: 0.000 0.500 0.568
Cu: 0.000 0.000 0.431
Cu: 0.500 0.000 0.933
Si: 0.500 0.500 0.072

=====

7.
Entry from Alexandria: an optimized crystal structure of ErTm3Te6 (PBE).

Output
Formation energy from raw total energies, eV per atom: -1.33
Space group: P2_1/m, No. 11
Energy above the lowest structure with this stoichiometry, kJ/mol of formula units: 0

Cell: 4.304 12.373 12.670 Å, 109.44 90.00 90.00°
Positions (direct):
Er: 0.750 0.044 0.694
Er: 0.250 0.956 0.306
Tm: 0.750 0.431 0.834
Tm: 0.250 0.569 0.166
Tm: 0.750 0.684 0.502
Tm: 0.250 0.316 0.498
Tm: 0.750 0.156 0.080
Tm: 0.250 0.844 0.920
Te: 0.750 0.482 0.618
Te: 0.250 0.518 0.382
Te: 0.750 0.917 0.101
Te: 0.250 0.083 0.899
Te: 0.750 0.393 0.062
Te: 0.250 0.607 0.938
Te: 0.750 0.748 0.280
Te: 0.250 0.252 0.720
Te: 0.750 0.110 0.467
Te: 0.250 0.890 0.533
Te: 0.750 0.808 0.750
Te: 0.250 0.192 0.250

=====

8.
Entry from Alexandria: an optimized crystal structure of Li2MgBe (PBE).

Output
Space group: F-43m, No. 216
Energy above the lowest structure with this stoichiometry, kJ/mol of formula units: 5

Cell: 4.456 4.456 4.456 Å, 60.00 60.00 60.00°
Positions (direct):
Be: 0.500 0.500 0.500
Li: 0.000 0.000 0.000
Li: 0.750 0.750 0.750
Mg: 0.250 0.250 0.250

=====

9.
Entry from Alexandria: an optimized crystal structure of SrIr2Pb (PBE).

Output
Calculated total energy, eV per atom: -5.39
Space group: I-4m2, No. 119

Cell: 5.549 5.549 5.549 Å, 135.56 135.56 64.65°
Positions (direct):
Ir: 0.000 0.000 0.000
Ir: 0.250 0.750 0.500
Pb: 0.500 0.500 0.000
Sr: 0.750 0.250 0.500

=====

10.
Entry from Alexandria: an optimized crystal structure of BaCu2GeS4 (PBE).

Output
Formation energy from raw total energies, eV per atom: -0.81
Space group: P3_121, No. 152

Cell: 6.280 6.280 15.578 Å, 90.00 90.00 120.00°
Positions (direct):
Ba: 0.432 0.432 0.500
Ba: 0.000 0.568 0.167
Ba: 0.568 0.000 0.833
Cu: 0.354 0.424 0.744
Cu: 0.931 0.576 0.922
Cu: 0.424 0.354 0.256
Cu: 0.069 0.646 0.411
Cu: 0.576 0.931 0.078
Cu: 0.646 0.069 0.589
Ge: 0.711 0.000 0.333
Ge: 0.000 0.711 0.667
Ge: 0.289 0.289 0.000
S: 0.763 0.668 0.332
S: 0.905 0.237 0.998
S: 0.332 0.095 0.665
S: 0.095 0.332 0.335
S: 0.237 0.905 0.002
S: 0.668 0.763 0.668
S: 0.953 0.468 0.552
S: 0.515 0.047 0.219
S: 0.047 0.515 0.781
S: 0.468 0.953 0.448
S: 0.485 0.532 0.114
S: 0.532 0.485 0.886

=====

11.
Entry from Alexandria: an optimized crystal structure of Ho2InBi (PBE).

Output
Space group: R3m, No. 160
Energy above the lowest structure with this stoichiometry, kJ/mol of formula units: 51

Cell: 4.154 4.154 8.692 Å, 76.18 76.18 60.00°
Positions (direct):
Ho: 0.078 0.078 0.766
Ho: 0.255 0.255 0.234
In: 0.499 0.499 0.502
Bi: 0.668 0.668 0.997

=====

12.
Entry from Alexandria: an optimized crystal structure of Ti5B2Te (PBE).

Output
Formation energy from raw total energies, eV per atom: -0.57
Space group: I4/mcm, No. 140

Cell: 6.211 6.211 7.456 Å, 114.62 114.62 90.00°
Positions (direct):
Ti: 0.547 0.704 0.751
Ti: 0.796 0.953 0.249
Ti: 0.000 0.000 0.000
Ti: 0.500 0.500 0.000
Ti: 0.204 0.047 0.751
Ti: 0.704 0.204 0.751
Ti: 0.047 0.547 0.751
Ti: 0.296 0.796 0.249
Ti: 0.953 0.453 0.249
Ti: 0.453 0.296 0.249
B: 0.111 0.389 0.000
B: 0.611 0.111 0.000
B: 0.389 0.889 0.000
B: 0.889 0.611 0.000
Te: 0.750 0.750 0.500
Te: 0.250 0.250 0.500

=====

13.
Entry from Alexandria: an optimized crystal structure of Ca2Ga3Pt4 (PBE).

Output
Calculated total energy, eV per atom: -5.04
Space group: Cmce, No. 64

Cell: 5.727 7.530 8.168 Å, 90.00 110.52 90.00°
Positions (direct):
Ca: 0.105 0.590 0.209
Ca: 0.895 0.410 0.791
Ca: 0.395 0.090 0.791
Ca: 0.605 0.910 0.209
Ga: 0.000 0.000 0.000
Ga: 0.500 0.500 0.000
Ga: 0.517 0.750 0.534
Ga: 0.983 0.250 0.466
Ga: 0.483 0.250 0.466
Ga: 0.017 0.750 0.534
Pt: 0.685 0.750 0.871
Pt: 0.815 0.250 0.129
Pt: 0.315 0.250 0.129
Pt: 0.185 0.750 0.871
Pt: 0.181 0.976 0.361
Pt: 0.819 0.024 0.639
Pt: 0.319 0.476 0.639
Pt: 0.681 0.524 0.361

=====

14.
Entry from Alexandria: an optimized crystal structure of La4Tb2Pm (PBE).

Output
Space group: Cc, No. 9
Energy above the lowest structure with this stoichiometry, kJ/mol of formula units: 0

Cell: 12.796 12.796 6.927 Å, 96.94 96.94 150.28°
Positions (direct):
Pm: 0.418 0.667 0.501
Pm: 0.667 0.418 0.001
Tb: 0.629 0.312 0.455
Tb: 0.924 0.108 0.045
Tb: 0.108 0.924 0.545
Tb: 0.312 0.629 0.955
La: 0.718 0.182 0.872
La: 0.182 0.718 0.372
La: 0.188 0.795 0.910
La: 0.795 0.188 0.410
La: 0.030 0.134 0.588
La: 0.559 0.597 0.130
La: 0.597 0.559 0.630
La: 0.134 0.030 0.088

=====

15.
Entry from Alexandria: an optimized crystal structure of BeCo2Os (PBE).

Output
Calculated total energy, eV per atom: -7.25
Space group: Cm, No. 8

Cell: 4.274 4.274 4.310 Å, 79.79 79.79 34.99°
Positions (direct):
Co: 0.997 0.997 0.027
Co: 0.749 0.749 0.743
Os: 0.498 0.498 0.512
Be: 0.255 0.255 0.218

=====

16.
Entry from Alexandria: an optimized crystal structure of NaAlCu2 (PBE).

Output
Calculated total energy, eV per atom: -3.01
Space group: I4_1/amd, No. 141

Cell: 4.723 4.723 9.017 Å, 74.82 74.82 90.00°
Positions (direct):
Na: 0.500 0.500 0.000
Na: 0.250 0.750 0.500
Al: 0.000 0.000 0.000
Al: 0.750 0.250 0.500
Cu: 0.875 0.125 0.250
Cu: 0.875 0.625 0.250
Cu: 0.375 0.125 0.750
Cu: 0.875 0.125 0.750

=====

17.
Entry from Alexandria: an optimized crystal structure of BaMgTlSn2 (PBE).

Output
Calculated total energy, eV per atom: -3.13
Space group: I-4m2, No. 119

Cell: 4.877 4.877 7.534 Å, 108.89 108.89 90.00°
Positions (direct):
Ba: 0.000 0.000 0.000
Mg: 0.250 0.750 0.500
Tl: 0.750 0.250 0.500
Sn: 0.612 0.612 0.224
Sn: 0.388 0.388 0.776

=====

18.
Entry from Alexandria: an optimized crystal structure of CaTbPr (PBE).

Output
Space group: Pmmn, No. 59
Energy above the lowest structure with this stoichiometry, kJ/mol of formula units: 6

Cell: 3.694 5.141 11.432 Å, 89.99 90.01 89.99°
Positions (direct):
Ca: 0.872 0.291 0.164
Ca: 0.372 0.791 0.348
Tb: 0.873 0.291 0.831
Tb: 0.372 0.791 0.681
Pr: 0.872 0.291 0.526
Pr: 0.373 0.791 0.986

=====

19.
Entry from Alexandria: an optimized crystal structure of Pm2Sm4YTm2 (PBE).

Output
Calculated total energy, eV per atom: -4.84
Space group: C2/m, No. 12

Cell: 5.091 8.059 8.025 Å, 107.56 90.00 108.41°
Positions (direct):
Pm: 0.888 0.777 0.332
Pm: 0.112 0.223 0.668
Sm: 0.778 0.556 0.669
Sm: 0.222 0.444 0.331
Sm: 0.555 0.111 0.331
Sm: 0.445 0.889 0.669
Y: 0.000 0.000 0.000
Tm: 0.333 0.665 0.000
Tm: 0.667 0.335 0.000

=====

20.
Entry from Alexandria: an optimized crystal structure of SbOs2Se (PBE).

Output
Formation energy from raw total energies, eV per atom: 0.74
Space group: Pmmm, No. 47
Energy above the lowest structure with this stoichiometry, kJ/mol of formula units: 149

Cell: 3.650 3.152 6.288 Å, 90.00 90.00 90.00°
Positions (direct):
Os: 0.000 0.750 0.034
Os: 0.000 0.750 0.466
Sb: 0.500 0.250 0.250
Se: 0.500 0.750 0.750